(A)
The following is a DFT calculation (PBE) of crystalline Nd2DyHg4 at its relaxed geometry.

abc: 9.465 9.465 9.465
angles: 31.66 31.66 31.66
Atoms (fractional coordinates):
Nd  0.244  0.244  0.244
Nd  0.756  0.756  0.756
Dy  0.000  0.000  0.000
Hg  0.127  0.127  0.127
Hg  0.371  0.371  0.371
Hg  0.629  0.629  0.629
Hg  0.873  0.873  0.873

Results
Volume (Å³ per atom): 29.65
Crystal system: trigonal


(B)
The following is a DFT calculation (PBE) of crystalline Nd2DyHg4 at its relaxed geometry.

abc: 8.795 8.795 8.795
angles: 142.61 142.61 53.91
Atoms (fractional coordinates):
Nd  0.107  0.107  0.000
Nd  0.893  0.893  0.000
Dy  0.500  0.500  0.000
Hg  0.000  0.500  0.500
Hg  0.307  0.307  0.000
Hg  0.500  0.000  0.500
Hg  0.693  0.693  0.000

Results
Volume (Å³ per atom): 35.60
Crystal system: tetragonal


So which one wins? Going from most stable to least: (A), (B).


(A)
The following is a DFT calculation (PBE) of crystalline NdDy2Hg2 at its relaxed geometry.

abc: 3.755 5.395 13.887
angles: 90.00 97.76 90.00
Atoms (fractional coordinates):
Nd  0.148  0.250  0.293
Nd  0.852  0.750  0.707
Dy  0.049  0.750  0.096
Dy  0.236  0.750  0.473
Dy  0.764  0.250  0.527
Dy  0.951  0.250  0.904
Hg  0.355  0.250  0.711
Hg  0.455  0.750  0.910
Hg  0.545  0.250  0.090
Hg  0.645  0.750  0.289

Results
Volume (Å³ per atom): 27.88
Crystal system: monoclinic


(B)
The following is a DFT calculation (PBE) of crystalline NdDy2Hg2 at its relaxed geometry.

abc: 5.232 5.232 6.377
angles: 90.00 90.00 120.00
Atoms (fractional coordinates):
Nd  0.000  0.000  0.000
Dy  0.333  0.667  0.659
Dy  0.667  0.333  0.341
Hg  0.333  0.667  0.180
Hg  0.667  0.333  0.820

Results
Volume (Å³ per atom): 30.24
Crystal system: trigonal


So which one wins? Going from most stable to least: (A), (B).


(A)
The following is a DFT calculation (PBE) of crystalline NdDy4Hg2 at its relaxed geometry.

abc: 10.735 10.735 10.735
angles: 27.17 27.17 27.17
Atoms (fractional coordinates):
Nd  0.000  0.000  0.000
Dy  0.202  0.202  0.202
Dy  0.395  0.395  0.395
Dy  0.605  0.605  0.605
Dy  0.798  0.798  0.798
Hg  0.102  0.102  0.102
Hg  0.898  0.898  0.898

Results
Volume (Å³ per atom): 32.50
Crystal system: trigonal


(B)
The following is a DFT calculation (PBE) of crystalline NdDy4Hg2 at its relaxed geometry.

abc: 9.021 9.021 15.371
angles: 116.49 116.49 22.75
Atoms (fractional coordinates):
Nd  0.041  0.041  0.144
Nd  0.959  0.959  0.856
Dy  0.031  0.031  0.653
Dy  0.176  0.176  0.024
Dy  0.267  0.267  0.276
Dy  0.345  0.345  0.619
Dy  0.655  0.655  0.381
Dy  0.733  0.733  0.724
Dy  0.824  0.824  0.976
Dy  0.969  0.969  0.347
Hg  0.142  0.142  0.541
Hg  0.380  0.380  0.161
Hg  0.620  0.620  0.839
Hg  0.858  0.858  0.459

Results
Volume (Å³ per atom): 30.76
Crystal system: monoclinic


So which one wins? Going from most stable to least: (B), (A).


(A)
The following is a DFT calculation (PBE) of crystalline NdDy4Hg at its relaxed geometry.

abc: 3.600 3.600 14.026
angles: 90.00 90.00 90.00
Atoms (fractional coordinates):
Nd  0.000  0.000  0.000
Dy  0.000  0.000  0.358
Dy  0.000  0.000  0.642
Dy  0.500  0.500  0.181
Dy  0.500  0.500  0.819
Hg  0.500  0.500  0.500

Results
Volume (Å³ per atom): 30.30
Crystal system: tetragonal


(B)
The following is a DFT calculation (PBE) of crystalline NdDy4Hg at its relaxed geometry.

abc: 8.256 8.256 6.364
angles: 100.09 100.09 115.70
Atoms (fractional coordinates):
Nd  0.097  0.903  0.750
Nd  0.903  0.097  0.250
Dy  0.103  0.335  0.871
Dy  0.213  0.588  0.453
Dy  0.335  0.103  0.371
Dy  0.412  0.787  0.047
Dy  0.588  0.213  0.953
Dy  0.665  0.897  0.629
Dy  0.787  0.412  0.547
Dy  0.897  0.665  0.129
Hg  0.499  0.501  0.750
Hg  0.501  0.499  0.250

Results
Volume (Å³ per atom): 30.76
Crystal system: monoclinic


So which one wins? Going from most stable to least: (A), (B).


(A)
The following is a DFT calculation (PBE) of crystalline Nd6Dy2Hg at its relaxed geometry.

abc: 9.663 9.663 3.700
angles: 90.00 90.00 120.00
Atoms (fractional coordinates):
Nd  0.000  0.380  0.000
Nd  0.000  0.726  0.500
Nd  0.274  0.274  0.500
Nd  0.380  0.000  0.000
Nd  0.620  0.620  0.000
Nd  0.726  0.000  0.500
Dy  0.333  0.667  0.500
Dy  0.667  0.333  0.500
Hg  0.000  0.000  0.000

Results
Volume (Å³ per atom): 33.24
Crystal system: hexagonal


(B)
The following is a DFT calculation (PBE) of crystalline Nd6Dy2Hg at its relaxed geometry.

abc: 9.710 9.710 9.710
angles: 158.56 115.35 68.96
Atoms (fractional coordinates):
Nd  0.016  0.178  0.838
Nd  0.293  0.500  0.793
Nd  0.339  0.178  0.162
Nd  0.661  0.822  0.838
Nd  0.707  0.500  0.207
Nd  0.984  0.822  0.162
Dy  0.349  0.849  0.500
Dy  0.651  0.151  0.500
Hg  0.000  0.000  0.000

Results
Volume (Å³ per atom): 33.36
Crystal system: orthorhombic


So which one wins? Going from most stable to least: (A), (B).


(A)
The following is a DFT calculation (PBE) of crystalline Nd2Dy8Hg at its relaxed geometry.

abc: 10.085 10.085 6.435
angles: 95.00 95.00 32.11
Atoms (fractional coordinates):
Nd  0.243  0.243  0.330
Nd  0.757  0.757  0.670
Dy  0.042  0.042  0.265
Dy  0.153  0.153  0.805
Dy  0.343  0.343  0.877
Dy  0.423  0.423  0.396
Dy  0.577  0.577  0.604
Dy  0.657  0.657  0.123
Dy  0.847  0.847  0.195
Dy  0.958  0.958  0.735
Hg  0.500  0.500  0.000

Results
Volume (Å³ per atom): 31.50
Crystal system: monoclinic


(B)
The following is a DFT calculation (PBE) of crystalline Nd2Dy8Hg at its relaxed geometry.

abc: 9.788 9.788 9.788
angles: 147.39 135.00 56.66
Atoms (fractional coordinates):
Nd  0.192  0.192  0.000
Nd  0.808  0.808  0.000
Dy  0.102  0.366  0.735
Dy  0.246  0.000  0.246
Dy  0.317  0.817  0.500
Dy  0.369  0.634  0.735
Dy  0.631  0.366  0.265
Dy  0.683  0.183  0.500
Dy  0.754  0.000  0.754
Dy  0.898  0.634  0.265
Hg  0.500  0.500  0.000

Results
Volume (Å³ per atom): 32.24
Crystal system: orthorhombic


So which one wins? Going from most stable to least: (A), (B).